1.
Below is crystalline Na2SnF6 at its relaxed geometry, with properties calculated at the PBE level.

The space group is P4_2/mnm (No. 136) and the conventional cell measures 5.1491, 5.1491 and 10.2609 Å, with angles of 90.00, 90.00 and 90.00 degrees. Symmetry generates all atoms from Na at (0.0000, 0.0000, 0.1635), Sn at (0.0000, 0.0000, 0.5000), F at (0.1857, 0.1857, 0.3554) and F at (0.2239, 0.2239, 0.0000).

Its total energy is -4.70 eV/atom. Its uncorrected formation energy is -261.8 kJ per mole of atoms.

2.
Below is crystalline ScMnSe2 at its relaxed geometry, with properties calculated at the PBE level.

The space group is Pm (No. 6) and the conventional cell measures 3.8536, 5.4549 and 3.8579 Å, with angles of 90.00, 90.00 and 90.00 degrees. Symmetry generates all atoms from Sc at (0.0000, 0.0000, 0.0000), Mn at (0.4909, 0.5000, 0.5138), Se at (0.4993, 0.0000, 0.5011) and Se at (0.9936, 0.5000, 0.0098).

The value obtained for the energy relative to the lowest polymorph listed for this composition is 0.03 eV per formula unit. Its total energy is -6.61 eV/atom. Its uncorrected formation energy is -95.8 kJ per mole of atoms.

3.
Below is crystalline BeCd2Br at its relaxed geometry, with properties calculated at the PBE level.

The space group is Pmmm (No. 47) and the conventional cell measures 3.1836, 4.8530 and 5.9008 Å, with angles of 90.00, 90.00 and 90.00 degrees. Symmetry generates all atoms from Be at (0.0000, 0.0000, 0.0000), Cd at (0.0000, 0.5000, 0.5000), Cd at (0.5000, 0.5000, 0.0000) and Br at (0.5000, 0.0000, 0.5000).

The value obtained for the energy relative to the lowest polymorph listed for this composition is 1.62 eV per formula unit. Its total energy is -1.33 eV/atom. Its uncorrected formation energy is 46.1 kJ per mole of atoms.